A plane-wave DFT calculation with PBE was carried out for a geometry-optimized MnAgW2 structure.

abc: 5.2483 5.2483 5.2483
angles: 146.68 128.58 62.66
Closest atoms and distances in Å follow each position.
Positions (direct):
W: 0.0200 0.0200 0.0000  2 Mn 2.44
W: 0.7633 0.2633 0.5000  4 Mn 2.74, 4 W 2.75-3.01, 4 Ag 2.93-3.01
Ag: 0.4829 0.4829 0.0000  2 Mn 2.69, 8 W 2.75-3.01, 2 Ag 3.01
Mn: 0.2338 0.7338 0.5000  2 W 2.44, 2 Ag 2.69

Calculated values
The total energy is -8.8742 eV per atom. The magnetic moment comes out at 0.80 μB/cell. For the formation energy, the calculation gives 0.61 eV per atom. As for the space group: Imm2, No. 44. The density of states at the Fermi level is 0.883 states/eV/atom.